# 1
TlHSe2N: PBEsol geometry, SCAN.

## Properties
- space-group type = P4/mmm (123)

Lattice parameters (Å, degrees): 4.353 5.510 5.510 90.00 90.00 90.00
Each line ends with the local moment (μB).
Fractional positions:
H 0.500 0.500 0.500  0.36
Tl 0.000 0.000 0.000  -0.04
Se 0.000 0.000 0.500  0.75
Se 0.000 0.500 0.000  0.75
N 0.500 0.000 0.000  1.30


# 2
LiFePO4: PBEsol geometry, SCAN.

## Properties
- space-group type = Pnma (62)
- raw formation energy (meV/atom) = -2208

Lattice parameters (Å, degrees): 4.768 5.919 10.227 90.00 90.00 90.00
Each line ends with the local moment (μB).
Fractional positions:
Li 0.520 0.250 0.784  0.00
Li 0.020 0.750 0.716  0.00
Li 0.980 0.250 0.284  0.00
Li 0.480 0.750 0.216  0.00
Fe 0.000 0.500 0.000  3.64
Fe 0.500 0.000 0.500  3.64
Fe 0.000 0.000 0.000  3.64
Fe 0.500 0.500 0.500  3.64
P 0.582 0.750 0.904  0.01
P 0.082 0.250 0.596  0.01
P 0.918 0.750 0.404  0.01
P 0.418 0.250 0.096  0.01
O 0.299 0.250 0.951  0.09
O 0.799 0.750 0.549  0.09
O 0.201 0.250 0.451  0.09
O 0.701 0.750 0.049  0.09
O 0.257 0.750 0.905  0.08
O 0.757 0.250 0.595  0.08
O 0.243 0.750 0.405  0.08
O 0.743 0.250 0.095  0.08
O 0.713 0.963 0.841  0.04
O 0.713 0.537 0.841  0.04
O 0.213 0.037 0.659  0.04
O 0.213 0.463 0.659  0.04
O 0.787 0.963 0.341  0.04
O 0.787 0.537 0.341  0.04
O 0.287 0.463 0.159  0.04
O 0.287 0.037 0.159  0.04


# 3
SrAgB7O12: PBEsol geometry, SCAN.

## Properties
- space-group type = C2/c (15)
- raw formation energy (meV/atom) = -2591

Lattice parameters (Å, degrees): 6.642 6.667 22.011 88.93 87.85 60.12
Fractional positions:
Sr 0.831 0.331 0.057
Sr 0.169 0.669 0.943
Sr 0.838 0.331 0.443
Sr 0.162 0.669 0.557
Ag 0.265 0.198 0.800
Ag 0.735 0.802 0.200
Ag 0.463 0.802 0.300
Ag 0.537 0.198 0.700
B 0.708 0.455 0.809
B 0.341 0.240 0.437
B 0.581 0.760 0.937
B 0.419 0.240 0.063
B 0.659 0.760 0.563
B 0.769 0.090 0.307
B 0.332 0.930 0.092
B 0.158 0.667 0.083
B 0.275 0.688 0.790
B 0.428 0.841 0.438
B 0.738 0.930 0.408
B 0.231 0.910 0.693
B 0.141 0.090 0.193
B 0.262 0.070 0.592
B 0.731 0.841 0.062
B 0.837 0.455 0.691
B 0.825 0.333 0.583
B 0.859 0.910 0.807
B 0.842 0.333 0.917
B 0.037 0.688 0.710
B 0.175 0.667 0.417
B 0.292 0.545 0.191
B 0.163 0.545 0.309
B 0.725 0.312 0.210
B 0.572 0.159 0.562
B 0.963 0.312 0.290
B 0.668 0.070 0.908
B 0.269 0.159 0.938
O 0.571 0.168 0.431
O 0.287 0.874 0.753
O 0.831 0.127 0.932
O 0.341 0.233 0.571
O 0.958 0.873 0.432
O 0.927 0.200 0.166
O 0.635 0.323 0.551
O 0.211 0.577 0.250
O 0.522 0.433 0.174
O 0.042 0.127 0.568
O 0.365 0.677 0.449
O 0.720 0.942 0.341
O 0.574 0.767 0.071
O 0.958 0.677 0.051
O 0.267 0.076 0.437
O 0.261 0.168 0.069
O 0.733 0.924 0.563
O 0.631 0.537 0.945
O 0.839 0.874 0.747
O 0.874 0.200 0.334
O 0.478 0.567 0.826
O 0.877 0.365 0.852
O 0.168 0.463 0.445
O 0.369 0.463 0.055
O 0.042 0.323 0.949
O 0.657 0.076 0.063
O 0.832 0.537 0.555
O 0.789 0.423 0.750
O 0.954 0.567 0.674
O 0.343 0.924 0.937
O 0.338 0.942 0.159
O 0.713 0.126 0.247
O 0.231 0.538 0.750
O 0.073 0.800 0.834
O 0.280 0.058 0.659
O 0.426 0.233 0.929
O 0.169 0.873 0.068
O 0.429 0.832 0.569
O 0.126 0.800 0.666
O 0.242 0.635 0.352
O 0.161 0.126 0.253
O 0.662 0.058 0.841
O 0.123 0.635 0.148
O 0.659 0.767 0.429
O 0.046 0.433 0.326
O 0.739 0.832 0.931
O 0.758 0.365 0.648
O 0.769 0.462 0.250


# 4
Os2RuW: PBEsol geometry, SCAN.

## Properties
- space-group type = Pmm2 (25)
- ΔE_f (eV/atom) = 0.0746

Lattice parameters (Å, degrees): 2.722 3.827 5.472 90.00 90.00 90.00
Fractional positions:
Os 0.500 0.000 0.009
Os 0.000 0.500 0.248
Ru 0.500 0.000 0.496
W 0.000 0.500 0.747


# 5
SrLi2Ag: PBEsol geometry, SCAN.

## Properties
- space-group type = Immm (71)
- ΔE_f (eV/atom) = -0.0955

Lattice parameters (Å, degrees): 3.728 5.203 6.040 115.51 107.98 90.00
Fractional positions:
Sr 0.500 0.000 0.000
Ag 0.000 0.500 0.000
Li 0.707 0.707 0.414
Li 0.293 0.293 0.586


# 6
LaSn3Ru: PBEsol geometry, SCAN.

## Properties
- space-group type = Pm-3n (223)
- ΔE_f (eV/atom) = -0.6216

Lattice parameters (Å, degrees): 9.711 9.711 9.711 90.00 90.00 90.00
Fractional positions:
La 0.000 0.250 0.500
La 0.000 0.750 0.500
La 0.500 0.000 0.750
La 0.500 0.000 0.250
La 0.750 0.500 0.000
La 0.250 0.500 0.000
La 0.500 0.500 0.500
La 0.000 0.000 0.000
Sn 0.000 0.316 0.843
Sn 0.000 0.684 0.157
Sn 0.816 0.500 0.343
Sn 0.184 0.500 0.343
Sn 0.657 0.184 0.500
Sn 0.343 0.184 0.500
Sn 0.500 0.657 0.816
Sn 0.500 0.343 0.184
Sn 0.000 0.316 0.157
Sn 0.500 0.343 0.816
Sn 0.500 0.657 0.184
Sn 0.657 0.816 0.500
Sn 0.343 0.816 0.500
Sn 0.184 0.500 0.657
Sn 0.816 0.500 0.657
Sn 0.157 0.000 0.316
Sn 0.316 0.157 0.000
Sn 0.684 0.843 0.000
Sn 0.157 0.000 0.684
Sn 0.684 0.157 0.000
Sn 0.843 0.000 0.316
Sn 0.843 0.000 0.684
Sn 0.316 0.843 0.000
Sn 0.000 0.684 0.843
Ru 0.750 0.250 0.250
Ru 0.250 0.250 0.750
Ru 0.250 0.750 0.250
Ru 0.750 0.750 0.750
Ru 0.250 0.750 0.750
Ru 0.750 0.750 0.250
Ru 0.750 0.250 0.750
Ru 0.250 0.250 0.250


# 7
CoSbBr2: PBEsol geometry, SCAN.

## Properties
- space-group type = F-43m (216)
- raw formation energy (meV/atom) = 698

Lattice parameters (Å, degrees): 4.896 4.896 4.896 60.00 60.00 60.00
Each line ends with the local moment (μB).
Fractional positions:
Sb 0.750 0.750 0.750  -0.29
Co 0.500 0.500 0.500  2.00
Br 0.000 0.000 0.000  -0.14
Br 0.250 0.250 0.250  -0.05


# 8
FeSiMo: PBEsol geometry, SCAN.

## Properties
- space-group type = P-6m2 (187)
- raw formation energy (meV/atom) = -148

Lattice parameters (Å, degrees): 2.706 3.974 3.974 120.00 90.00 90.00
Fractional positions:
Mo 0.000 0.667 0.333
Si 0.500 0.333 0.667
Fe 0.500 0.000 0.000


# 9
TeRuSe2: PBEsol geometry, SCAN.

## Properties
- space-group type = P4/mmm (123)
- raw formation energy (meV/atom) = 63

Lattice parameters (Å, degrees): 2.982 2.982 9.552 90.00 90.00 90.00
Each line ends with the local moment (μB).
Fractional positions:
Ru 0.500 0.500 0.500  0.56
Se 0.000 0.000 0.663  0.00
Se 0.000 0.000 0.337  0.00
Te 0.500 0.500 0.000  0.01


# 10
TaInSe: PBEsol geometry, SCAN.

## Properties
- space-group type = F-43m (216)
- raw formation energy (meV/atom) = 633

Lattice parameters (Å, degrees): 4.558 4.558 4.558 60.00 60.00 60.00
Fractional positions:
In 0.000 0.000 0.000
Se 0.500 0.500 0.500
Ta 0.250 0.250 0.250


# 11
BaMnHg2: PBEsol geometry, SCAN.

## Properties
- space-group type = P4/mmm (123)
- ΔE_f (eV/atom) = -0.1036

Lattice parameters (Å, degrees): 4.408 4.952 4.952 90.00 90.00 90.00
Each line ends with the local moment (μB).
Fractional positions:
Ba 0.500 0.500 0.500  -0.07
Hg 0.000 0.000 0.500  -0.03
Hg 0.000 0.500 0.000  -0.03
Mn 0.500 0.000 0.000  4.44


# 12
CrCu2Ir: PBEsol geometry, SCAN.

## Properties
- space-group type = Cmmm (65)
- ΔE_f (eV/atom) = 0.3281

Lattice parameters (Å, degrees): 2.527 2.527 8.684 90.00 90.00 116.20
Fractional positions:
Cr 0.500 0.500 0.000
Cu 0.000 0.000 0.242
Cu 0.000 0.000 0.758
Ir 0.500 0.500 0.500


# 13
Ba2PrTaO6: PBEsol geometry, SCAN.

## Properties
- space-group type = Fm-3m (225)
- raw formation energy (meV/atom) = -3332

Lattice parameters (Å, degrees): 6.104 6.104 6.104 60.00 60.00 60.00
Fractional positions:
Pr 0.000 0.000 0.000
Ba 0.250 0.250 0.250
Ba 0.750 0.750 0.750
O 0.269 0.731 0.269
O 0.269 0.269 0.731
O 0.731 0.731 0.269
O 0.269 0.731 0.731
O 0.731 0.269 0.731
O 0.731 0.269 0.269
Ta 0.500 0.500 0.500


# 14
BaSrSb: PBEsol geometry, SCAN.

## Properties
- space-group type = F-43m (216)
- raw formation energy (meV/atom) = -921

Lattice parameters (Å, degrees): 5.631 5.631 5.631 60.00 60.00 60.00
Fractional positions:
Sb 0.250 0.250 0.250
Ba 0.500 0.500 0.500
Sr 0.000 0.000 0.000


# 15
TcHg2Ru: PBEsol geometry, SCAN.

## Properties
- space-group type = Fm-3m (225)
- ΔE_f (eV/atom) = 0.7913

Lattice parameters (Å, degrees): 4.534 4.534 4.534 60.00 60.00 60.00
Each line ends with the local moment (μB).
Fractional positions:
Hg 0.250 0.250 0.250  0.00
Hg 0.750 0.750 0.750  0.00
Ru 0.000 0.000 0.000  1.01
Tc 0.500 0.500 0.500  2.10


# 16
K2HoNb5O15: PBEsol geometry, SCAN.

## Properties
- space-group type = P4/mbm (127)
- raw formation energy (meV/atom) = -2833

Lattice parameters (Å, degrees): 3.920 12.619 12.619 90.00 90.00 90.00
Fractional positions:
K 0.500 0.670 0.170
K 0.500 0.330 0.830
K 0.500 0.170 0.330
K 0.500 0.830 0.670
Ho 0.500 0.000 0.000
Ho 0.500 0.500 0.500
Nb 0.000 0.500 0.000
Nb 0.000 0.000 0.500
Nb 0.000 0.211 0.077
Nb 0.000 0.789 0.923
Nb 0.000 0.077 0.789
Nb 0.000 0.711 0.423
Nb 0.000 0.923 0.211
Nb 0.000 0.289 0.577
Nb 0.000 0.577 0.711
Nb 0.000 0.423 0.289
O 0.500 0.183 0.078
O 0.500 0.817 0.922
O 0.500 0.078 0.817
O 0.500 0.683 0.422
O 0.500 0.922 0.183
O 0.500 0.317 0.578
O 0.500 0.578 0.683
O 0.500 0.422 0.317
O 0.000 0.218 0.718
O 0.000 0.782 0.282
O 0.000 0.718 0.782
O 0.000 0.282 0.218
O 0.500 0.500 0.000
O 0.500 0.000 0.500
O 0.000 0.058 0.130
O 0.000 0.942 0.870
O 0.000 0.130 0.942
O 0.000 0.558 0.370
O 0.000 0.870 0.058
O 0.000 0.442 0.630
O 0.000 0.630 0.558
O 0.000 0.370 0.442
O 0.000 0.342 0.999
O 0.000 0.658 0.001
O 0.000 0.999 0.658
O 0.000 0.842 0.501
O 0.000 0.001 0.342
O 0.000 0.158 0.499
O 0.000 0.499 0.842
O 0.000 0.501 0.158


# 17
NaGdTi2O6: PBEsol geometry, SCAN.

## Properties
- space-group type = Pmn2_1 (31)
- raw formation energy (meV/atom) = -3299

Lattice parameters (Å, degrees): 5.309 5.481 7.589 90.00 90.00 90.00
Each line ends with the local moment (μB).
Fractional positions:
Na 0.503 0.280 0.500  0.00
Na 0.003 0.720 0.000  0.00
Gd 0.986 0.815 0.500  6.97
Gd 0.486 0.185 0.000  6.97
Ti 0.489 0.736 0.752  0.01
Ti 0.989 0.264 0.252  0.01
Ti 0.489 0.736 0.248  0.01
Ti 0.989 0.264 0.748  0.01
O 0.074 0.230 0.500  -0.02
O 0.410 0.728 0.500  -0.02
O 0.910 0.272 0.000  -0.02
O 0.574 0.770 0.000  -0.02
O 0.805 0.552 0.702  -0.01
O 0.720 0.037 0.287  -0.02
O 0.220 0.963 0.213  -0.02
O 0.305 0.448 0.798  -0.01
O 0.220 0.963 0.787  -0.02
O 0.305 0.448 0.202  -0.01
O 0.805 0.552 0.298  -0.01
O 0.720 0.037 0.713  -0.02


# 18
Ca2TlTcPb: PBEsol geometry, SCAN.

## Properties
- space-group type = P4/mmm (123)
- ΔE_f (eV/atom) = 0.2138

Lattice parameters (Å, degrees): 5.246 5.371 5.371 90.00 90.00 90.00
Each line ends with the local moment (μB).
Fractional positions:
Pb 0.500 0.000 0.000  -0.02
Tl 0.500 0.500 0.500  0.00
Ca 0.000 0.000 0.500  0.01
Ca 0.000 0.500 0.000  0.01
Tc 0.000 0.000 0.000  0.81


For each record above, in turn, the calculated N(E_F) values are 1.84; 2.43; 0.00; 2.88; 1.66; 19.57; 3.57; 1.18; 1.93; 2.13; 2.38; 3.29; 0.00; 1.52; 3.26; 0.00; 0.00; 2.94 states/eV per cell.
For each record above, in turn, the calculated uncorrected energy values are -116.9; -285.2; -939.3; -248.0; -58.8; -1510.4; -90.7; -63.5; -112.0; -118.1; -194.6; -118.6; -259.7; -101.8; -203.1; -779.8; -330.9; -201.5 eV per cell.